(1)
Below is a relaxed Ca2ReW crystal, with properties calculated at the GGA-PBEsol level.

Summary:
DOS(E_F) in states/eV per cell: 2.99
Space group: Imm2, No. 44
Magnetic moment in μB/cell: 0.00
Calculated density in g/cm³: 8.22
Calculated formation energy in kJ/mol of formula units: 242

The structure in POSCAR format:
```
Ca2ReW
1.0
-1.745 2.638 4.940
1.745 -2.638 4.940
1.745 2.638 -4.940
Ca Re W
2 1 1
Direct
0.000 0.000 0.000
0.714 0.214 0.500
0.266 0.766 0.500
0.430 0.430 0.000
```

(2)
Below is a relaxed TaAgRu2 crystal, with properties calculated at the GGA-PBEsol level.

Summary:
DOS(E_F) in states/eV per cell: 2.95
Space group: R-3m, No. 166
Magnetic moment in μB/cell: 0.00
Calculated density in g/cm³: 12.99
Calculated formation energy in kJ/mol of formula units: 79

The structure in POSCAR format:
```
TaAgRu2
1.0
1.446 0.835 8.661
-1.446 0.835 8.661
0.000 -1.670 8.661
Ta Ag Ru
1 1 2
Direct
0.000 0.000 0.000
0.500 0.500 0.500
0.256 0.256 0.256
0.744 0.744 0.744
```

(3)
Below is a relaxed Zr2SbBr crystal, with properties calculated at the GGA-PBEsol level.

Summary:
DOS(E_F) in states/eV per cell: 1.31
ΔE_f (raw) in eV per atom: -0.518
Space group: P4mm, No. 99
Magnetic moment in μB/cell: 0.00
Calculated density in g/cm³: 6.49

The structure in POSCAR format:
```
Zr2SbBr
1.0
3.206 0.000 0.000
0.000 3.206 0.000
0.000 0.000 9.558
Zr Sb Br
2 1 1
Direct
0.000 0.000 0.000
0.500 0.500 0.240
0.500 0.500 0.770
0.000 0.000 0.417
```